[1]
Computed, not measured: Rb2CoGe after structural relaxation at the PBE-GGA level of DFT.

Unit cell a=9.425 b=9.425 c=9.425 alpha=93.30 beta=93.30 gamma=152.23
Atoms (fractional coordinates):
Rb (0.375, 0.084, 0.209)
Rb (0.834, 0.625, 0.709)
Rb (0.875, 0.166, 0.791)
Rb (0.916, 0.125, 0.291)
Co (0.000, 0.000, 0.000)
Co (0.750, 0.250, 0.500)
Ge (0.250, 0.750, 0.500)
Ge (0.500, 0.500, 0.000)

Calculated values
* ΔH_f (0 K): 0.35 eV/atom



[2]
Computed, not measured: Rb2ScCoGe after structural relaxation at the PBE-GGA level of DFT.

Unit cell a=7.266 b=7.266 c=4.983 alpha=90.00 beta=90.00 gamma=90.00
Atoms (fractional coordinates):
Rb (0.000, 0.500, 0.000)
Rb (0.500, 0.000, 0.000)
Sc (0.000, 0.000, 0.000)
Co (0.500, 0.500, 0.500)
Ge (0.000, 0.000, 0.500)

Calculated values
* ΔH_f (0 K): 1.13 eV/atom



[3]
Computed, not measured: RbSrCo2Ge after structural relaxation at the PBE-GGA level of DFT.

Unit cell a=4.686 b=4.686 c=5.817 alpha=90.00 beta=90.00 gamma=90.00
Atoms (fractional coordinates):
Rb (0.000, 0.000, 0.000)
Sr (0.500, 0.500, 0.000)
Co (0.000, 0.500, 0.500)
Co (0.500, 0.000, 0.500)
Ge (0.000, 0.000, 0.500)

Calculated values
* ΔH_f (0 K): 0.76 eV/atom



[4]
Computed, not measured: Rb2CoGeTe after structural relaxation at the PBE-GGA level of DFT.

Unit cell a=6.909 b=6.909 c=5.307 alpha=90.00 beta=90.00 gamma=90.00
Atoms (fractional coordinates):
Rb (0.000, 0.500, 0.000)
Rb (0.500, 0.000, 0.000)
Co (0.000, 0.000, 0.500)
Ge (0.500, 0.500, 0.000)
Te (0.500, 0.500, 0.500)

Calculated values
* formation energy without anion corrections: 0.667 eV per atom



[5]
Computed, not measured: RbZn2CoGe after structural relaxation at the PBE-GGA level of DFT.

Unit cell a=4.882 b=4.882 c=4.494 alpha=90.00 beta=90.00 gamma=90.00
Atoms (fractional coordinates):
Rb (0.000, 0.000, 0.000)
Zn (0.000, 0.500, 0.500)
Zn (0.500, 0.000, 0.500)
Co (0.500, 0.500, 0.500)
Ge (0.500, 0.500, 0.000)

Calculated values
* ΔH_f (0 K): 0.01 eV/atom



[6]
Computed, not measured: CoRe3Ge after structural relaxation at the PBE-GGA level of DFT.

Unit cell a=4.432 b=4.432 c=4.432 alpha=90.00 beta=90.00 gamma=90.00
Atoms (fractional coordinates):
Co (0.000, 0.000, 0.000)
Re (0.000, 0.000, 0.500)
Re (0.000, 0.500, 0.000)
Re (0.500, 0.000, 0.000)
Ge (0.500, 0.500, 0.500)

Calculated values
* ΔH_f (0 K): 1.71 eV/atom
* relative energy among the computed polymorphs: 0.000 eV per atom



[7]
Computed, not measured: CoReGe2 after structural relaxation at the PBE-GGA level of DFT.

Unit cell a=5.420 b=5.420 c=5.420 alpha=106.36 beta=106.36 gamma=115.90
Atoms (fractional coordinates):
Co (0.000, 0.000, 0.000)
Co (0.750, 0.250, 0.500)
Re (0.250, 0.750, 0.500)
Re (0.500, 0.500, 0.000)
Ge (0.094, 0.125, 0.469)
Ge (0.375, 0.906, 0.031)
Ge (0.656, 0.625, 0.531)
Ge (0.875, 0.344, 0.969)

Calculated values
* ΔH_f (0 K): 0.62 eV/atom
* relative energy among the computed polymorphs: 0.480 eV per atom



[8]
Computed, not measured: CoReGe2 after structural relaxation at the PBE-GGA level of DFT.

Unit cell a=4.339 b=4.339 c=4.339 alpha=60.00 beta=60.00 gamma=60.00
Atoms (fractional coordinates):
Co (0.000, 0.000, 0.000)
Re (0.750, 0.750, 0.750)
Ge (0.250, 0.250, 0.250)
Ge (0.500, 0.500, 0.500)

Calculated values
* ΔH_f (0 K): 0.52 eV/atom
* relative energy among the computed polymorphs: 0.372 eV per atom



[9]
Computed, not measured: Co2ReGe2 after structural relaxation at the PBE-GGA level of DFT.

Unit cell a=6.037 b=6.037 c=6.037 alpha=146.23 beta=146.23 gamma=48.51
Atoms (fractional coordinates):
Co (0.250, 0.750, 0.500)
Co (0.750, 0.250, 0.500)
Re (0.000, 0.000, 0.000)
Ge (0.386, 0.386, 0.000)
Ge (0.614, 0.614, 0.000)

Calculated values
* ΔH_f (0 K): 0.39 eV/atom
* relative energy among the computed polymorphs: 0.353 eV per atom



[10]
Computed, not measured: Co3ReGe after structural relaxation at the PBE-GGA level of DFT.

Unit cell a=4.215 b=4.215 c=4.215 alpha=90.00 beta=90.00 gamma=90.00
Atoms (fractional coordinates):
Co (0.000, 0.000, 0.500)
Co (0.000, 0.500, 0.000)
Co (0.500, 0.000, 0.000)
Re (0.500, 0.500, 0.500)
Ge (0.000, 0.000, 0.000)

Calculated values
* ΔH_f (0 K): 1.26 eV/atom
* relative energy among the computed polymorphs: 0.000 eV per atom



[11]
Computed, not measured: Co2ReGe2 after structural relaxation at the PBE-GGA level of DFT.

Unit cell a=6.906 b=6.906 c=2.680 alpha=90.00 beta=90.00 gamma=90.00
Atoms (fractional coordinates):
Co (0.148, 0.352, 0.000)
Co (0.352, 0.852, 0.000)
Co (0.648, 0.148, 0.000)
Co (0.852, 0.648, 0.000)
Re (0.000, 0.000, 0.500)
Re (0.500, 0.500, 0.500)
Ge (0.150, 0.650, 0.500)
Ge (0.350, 0.150, 0.500)
Ge (0.650, 0.850, 0.500)
Ge (0.850, 0.350, 0.500)

Calculated values
* ΔH_f (0 K): 0.03 eV/atom
* relative energy among the computed polymorphs: 0.000 eV per atom



[12]
Computed, not measured: CoReGe2 after structural relaxation at the PBE-GGA level of DFT.

Unit cell a=8.784 b=8.784 c=8.784 alpha=19.00 beta=19.00 gamma=19.00
Atoms (fractional coordinates):
Co (0.000, 0.000, 0.000)
Re (0.500, 0.500, 0.500)
Ge (0.088, 0.088, 0.088)
Ge (0.912, 0.912, 0.912)

Calculated values
* ΔH_f (0 K): 0.40 eV/atom
* relative energy among the computed polymorphs: 0.257 eV per atom



no.,DOS at the Fermi energy (states/eV per cell)
1,12.7
2,10.2
3,5.8
4,37.8
5,1.4
6,9.0
7,3.8
8,3.4
9,4.3
10,4.7
11,5.5
12,4.9